# TaFe2 | the Alexandria database | PBE | optimized geometry
data_TaFe2
_chemical_formula_sum 'Ta4 Fe8'
_cell_length_a 5.803
_cell_length_b 5.803
_cell_length_c 5.803
_cell_angle_alpha 90.00
_cell_angle_beta 90.00
_cell_angle_gamma 90.00
_symmetry_space_group_name_H-M 'P a -3'
_symmetry_Int_Tables_number 205
_symmetry_space_group_name_Hall '-P 2ac 2ab 3'
loop_
_atom_site_label
_atom_site_fract_x
_atom_site_fract_y
_atom_site_fract_z
Ta1 0.000 0.000 0.000
Fe1 0.113 0.613 0.887
# Total energy = -8.4970 eV/atom
# Calculated volume = 195.4 Å³/cell
# Formation enthalpy at 0 K = 1.096 eV per atom
# Total moment = 12.00 μB per cell
# Density of states at the Fermi level = 4.25 states/eV/f.u.